This record from Alexandria describes a relaxed KPaHgBr6 crystal. The functional is PBE-GGA.

POSCAR file:
```
KPaHgBr6
1.0
8.216 0.000 0.000
-4.108 7.115 0.000
0.000 0.000 15.277
K Pa Hg Br
2 2 2 12
direct
0.333 0.667 0.250
0.667 0.333 0.750
0.333 0.667 0.750
0.667 0.333 0.250
0.000 0.000 0.000
0.000 0.000 0.500
0.059 0.400 0.646
0.059 0.659 0.854
0.341 0.400 0.854
0.341 0.941 0.646
0.400 0.059 0.146
0.400 0.341 0.354
0.600 0.659 0.646
0.600 0.941 0.854
0.659 0.059 0.354
0.659 0.600 0.146
0.941 0.341 0.146
0.941 0.600 0.354
```

Computed properties:
The value obtained for the magnetization is 0.00 μB per formula unit. As for the raw total energy: -3.68 eV per atom. For the raw formation energy, the calculation gives -1.36 eV per atom.